First-principles (PBE) data for a relaxed Cs2CaTeSe4 crystal, as listed in Alexandria.

Output
* DFT total energy: -3.471 eV/atom
* theoretical density: 3.5 Mg/m³

Lattice parameters (Å, degrees): 15.212 13.568 8.477 83.87 62.48 33.65
Fractional positions:
Cs (0.057, 0.057, 0.693)
Cs (0.307, 0.307, 0.943)
Cs (0.693, 0.693, 0.057)
Cs (0.943, 0.943, 0.307)
Ca (0.125, 0.125, 0.125)
Ca (0.875, 0.875, 0.875)
Te (0.375, 0.375, 0.375)
Te (0.625, 0.625, 0.625)
Se (0.022, 0.333, 0.440)
Se (0.295, 0.560, 0.667)
Se (0.333, 0.022, 0.705)
Se (0.440, 0.705, 0.022)
Se (0.560, 0.295, 0.978)
Se (0.667, 0.978, 0.295)
Se (0.705, 0.440, 0.333)
Se (0.978, 0.667, 0.560)



First-principles (PBE) data for a relaxed CsCaTeSe crystal, as listed in Alexandria.

Output
* theoretical density: 4.0 Mg/m³
* relative energy among the computed polymorphs: 0.029 eV/atom

Lattice parameters (Å, degrees): 4.691 4.691 8.779 105.44 105.44 60.05
Fractional positions:
Cs (0.000, 0.000, 0.000)
Ca (0.178, 0.178, 0.535)
Te (0.443, 0.443, 0.329)
Se (0.568, 0.568, 0.703)



First-principles (PBE) data for a relaxed CsCaTeSe crystal, as listed in Alexandria.

Output
* theoretical density: 4.0 Mg/m³
* relative energy among the computed polymorphs: 0.019 eV/atom

Lattice parameters (Å, degrees): 4.700 4.700 8.259 90.00 90.00 120.00
Fractional positions:
Cs (0.000, 0.000, 0.000)
Ca (0.333, 0.667, 0.530)
Te (0.667, 0.333, 0.323)
Se (0.667, 0.333, 0.700)



First-principles (PBE) data for a relaxed CsCaTeSe crystal, as listed in Alexandria.

Output
* theoretical density: 4.5 Mg/m³
* relative energy among the computed polymorphs: 0.000 eV/atom

Lattice parameters (Å, degrees): 3.829 9.488 9.488 23.75 90.00 90.00
Fractional positions:
Cs (0.000, 0.000, 0.000)
Ca (0.000, 0.201, 0.201)
Te (0.500, 0.347, 0.347)
Se (0.500, 0.639, 0.639)